Record 1
LaNdYCd | PBE | relaxed

It has space group P4mm (No. 99), with a = 3.7167 Å, b = 3.7167 Å, c = 9.1740 Å, α = 90.00°, β = 90.00° and γ = 90.00°. The distinct sites, in fractional coordinates, are La at (0.0000, 0.0000, 0.0000), Nd at (0.5000, 0.5000, 0.2843), Y at (0.0000, 0.0000, 0.5542) and Cd at (0.5000, 0.5000, 0.7589).

The energy above the most stable polymorph in this dataset comes out at 0 meV/atom. The calculation puts the total moment at 0.00 μB per cell. The formation enthalpy at 0 K comes out at -0.16 eV/atom.

Record 2
Hf4Tl | PBE | relaxed

It has space group I4/mmm (No. 139), with a = 3.1437 Å, b = 3.1437 Å, c = 22.9767 Å, α = 90.00°, β = 90.00° and γ = 90.00°. The distinct sites, in fractional coordinates, are Hf at (0.0000, 0.0000, 0.1053), Hf at (0.0000, 0.0000, 0.2989) and Tl at (0.0000, 0.0000, 0.5000).

The energy above the most stable polymorph in this dataset comes out at 0 meV/atom. The calculation puts the total moment at 0.00 μB per cell. The formation enthalpy at 0 K comes out at 0.03 eV/atom.

Record 3
CsK2CeI8 | PBE | relaxed

It has space group P-1 (No. 2), with a = 6.7261 Å, b = 8.4104 Å, c = 10.5477 Å, α = 88.88°, β = 72.34° and γ = 85.93°. The distinct sites, in fractional coordinates, are Cs at (0.0000, 0.0000, 0.0000), K at (0.3706, 0.5329, 0.3126), Ce at (0.5000, 0.0000, 0.5000), I at (0.1783, 0.2759, 0.6067), I at (0.1988, 0.7577, 0.6411), I at (0.2458, 0.5002, 0.0040) and I at (0.3897, 0.9730, 0.2416).

For the total energy, the calculation gives -36.18 eV per cell. The calculation puts the total moment at 0.13 μB per cell.

Record 4
RbMg14Sb | PBE | relaxed

It has space group Amm2 (No. 38), with a = 10.5008 Å, b = 6.5215 Å, c = 11.7709 Å, α = 90.00°, β = 90.00° and γ = 90.00°. The distinct sites, in fractional coordinates, are Rb at (0.0000, 0.0000, 0.0000), Mg at (0.0000, 0.2478, 0.2488), Mg at (0.2365, 0.0000, 0.6534), Mg at (0.2623, 0.2468, 0.4017), Mg at (0.2630, 0.0000, 0.1642), Mg at (0.5000, 0.0000, 0.4954), Mg at (0.5000, 0.0000, 0.9926), Mg at (0.5000, 0.2436, 0.7401) and Sb at (0.0000, 0.0000, 0.4682).

The energy above the most stable polymorph in this dataset comes out at 0 meV/atom. The calculation puts the total moment at 0.00 μB per cell.

Record 5
Tc2AgBiI | PBE | relaxed

It has space group P4/mmm (No. 123), with a = 5.2179 Å, b = 5.2179 Å, c = 5.2228 Å, α = 90.00°, β = 90.00° and γ = 90.00°. The distinct sites, in fractional coordinates, are Tc at (0.0000, 0.5000, 0.0000), Ag at (0.0000, 0.0000, 0.0000), Bi at (0.5000, 0.5000, 0.5000) and I at (0.0000, 0.0000, 0.5000).

For the total energy, the calculation gives -20.00 eV per cell. The calculation puts the total moment at 6.14 μB per cell.

Record 6
K7Hg | PBE | relaxed

It has space group Fm-3m (No. 225), with a = 12.6297 Å, b = 12.6297 Å, c = 12.6297 Å, α = 90.00°, β = 90.00° and γ = 90.00°. The distinct sites, in fractional coordinates, are K at (0.0000, 0.0000, 0.0000), K at (0.0000, 0.2500, 0.2500) and Hg at (0.0000, 0.0000, 0.5000).

The energy above the most stable polymorph in this dataset comes out at 18 meV/atom. The calculation puts the total moment at 0.00 μB per cell. The formation enthalpy at 0 K comes out at -0.01 eV/atom.

Record 7
SmAlGaAu | PBE | relaxed

It has space group F-43m (No. 216), with a = 6.9198 Å, b = 6.9198 Å, c = 6.9198 Å, α = 90.00°, β = 90.00° and γ = 90.00°. The distinct sites, in fractional coordinates, are Sm at (0.0000, 0.0000, 0.0000), Al at (0.0000, 0.0000, 0.5000), Ga at (0.2500, 0.2500, 0.2500) and Au at (0.2500, 0.2500, 0.7500).

The calculation puts the total moment at 0.00 μB per cell. The formation enthalpy at 0 K comes out at -0.52 eV/atom.

Record 8
BaTeS2N | PBE | relaxed

It has space group P4/mmm (No. 123), with a = 5.2777 Å, b = 5.2777 Å, c = 4.1239 Å, α = 90.00°, β = 90.00° and γ = 90.00°. The distinct sites, in fractional coordinates, are Ba at (0.0000, 0.0000, 0.0000), Te at (0.5000, 0.5000, 0.5000), S at (0.0000, 0.5000, 0.5000) and N at (0.5000, 0.5000, 0.0000).

The energy above the most stable polymorph in this dataset comes out at 0 meV/atom. The calculation puts the total moment at 0.00 μB per cell.

Record 9
DyTmBeCu | PBE | relaxed

It has space group F-43m (No. 216), with a = 6.8346 Å, b = 6.8346 Å, c = 6.8346 Å, α = 90.00°, β = 90.00° and γ = 90.00°. The distinct sites, in fractional coordinates, are Dy at (0.0000, 0.0000, 0.0000), Tm at (0.0000, 0.0000, 0.5000), Be at (0.2500, 0.2500, 0.7500) and Cu at (0.2500, 0.2500, 0.2500).

The calculation puts the total moment at 0.00 μB per cell. The formation enthalpy at 0 K comes out at -0.08 eV/atom.

Record 10
Cr2Co2Se | PBE | relaxed

It has space group I4/mmm (No. 139), with a = 3.2008 Å, b = 3.2008 Å, c = 12.6442 Å, α = 90.00°, β = 90.00° and γ = 90.00°. The distinct sites, in fractional coordinates, are Cr at (0.0000, 0.5000, 0.2500), Co at (0.0000, 0.0000, 0.0995) and Se at (0.0000, 0.0000, 0.5000).

For the total energy, the calculation gives -69.75 eV per cell. The calculation puts the total moment at 2.18 μB per cell.

Record 11
CsBa2TlIr | PBE | relaxed

It has space group P4/mmm (No. 123), with a = 6.2089 Å, b = 6.2089 Å, c = 5.5025 Å, α = 90.00°, β = 90.00° and γ = 90.00°. The distinct sites, in fractional coordinates, are Cs at (0.0000, 0.0000, 0.0000), Ba at (0.0000, 0.5000, 0.5000), Tl at (0.5000, 0.5000, 0.0000) and Ir at (0.5000, 0.5000, 0.5000).

The calculation puts the total moment at 0.00 μB per cell. The formation enthalpy at 0 K comes out at -0.03 eV/atom.

Record 12
Sc3Al2Ru | PBE | relaxed

It has space group Cmcm (No. 63), with a = 8.0876 Å, b = 10.2297 Å, c = 5.6053 Å, α = 90.00°, β = 90.00° and γ = 90.00°. The distinct sites, in fractional coordinates, are Sc at (0.0000, 0.0798, 0.2500), Sc at (0.1826, 0.2309, 0.7500), Al at (0.1699, 0.5000, 0.0000) and Ru at (0.0000, 0.3259, 0.2500).

The calculation puts the total moment at 0.01 μB per cell. The formation enthalpy at 0 K comes out at -0.42 eV/atom.